Version A
VASP calculation (GGA-PBE) on a relaxed structure of YFeW2.

The structure in CIF format:
```
data_YFeW2
_chemical_formula_sum 'Y1 Fe1 W2'
_cell_length_a 4.525
_cell_length_b 4.525
_cell_length_c 4.525
_cell_angle_alpha 60.00
_cell_angle_beta 60.00
_cell_angle_gamma 60.00
_space_group_name_H-M_alt 'P 1'
_space_group_IT_number 1
loop_
_space_group_symop_operation_xyz
'x,y,z'
loop_
_atom_site_label
_atom_site_fract_x
_atom_site_fract_y
_atom_site_fract_z
Y1 0.500 0.500 0.500
Fe1 0.000 0.000 0.000
W1 0.250 0.250 0.250
W2 0.750 0.750 0.750
```

Density ... 12.991 g cm⁻³
M_tot ... 0.00 μB/cell
Symmetry ... No. 225

=====

Version B
VASP calculation (GGA-PBE) on a relaxed structure of YFeW2.

The structure in CIF format:
```
data_YFeW2
_chemical_formula_sum 'Y1 Fe1 W2'
_cell_length_a 5.312
_cell_length_b 5.312
_cell_length_c 5.312
_cell_angle_alpha 144.27
_cell_angle_beta 125.20
_cell_angle_gamma 67.16
_space_group_name_H-M_alt 'P 1'
_space_group_IT_number 1
loop_
_space_group_symop_operation_xyz
'x,y,z'
loop_
_atom_site_label
_atom_site_fract_x
_atom_site_fract_y
_atom_site_fract_z
Fe1 0.230 0.730 0.500
W1 0.006 0.006 0.000
W2 0.772 0.272 0.500
Y1 0.492 0.492 0.000
```

Density ... 12.067 g cm⁻³
M_tot ... 1.21 μB/cell
Symmetry ... No. 44

=====

Least stable = version A

=====

Version A
VASP calculation (GGA-PBE) on a relaxed structure of YFeW2.

The structure in CIF format:
```
data_YFeW2
_chemical_formula_sum 'Y1 Fe1 W2'
_cell_length_a 4.541
_cell_length_b 4.541
_cell_length_c 3.320
_cell_angle_alpha 90.00
_cell_angle_beta 90.00
_cell_angle_gamma 90.00
_space_group_name_H-M_alt 'P 1'
_space_group_IT_number 1
loop_
_space_group_symop_operation_xyz
'x,y,z'
loop_
_atom_site_label
_atom_site_fract_x
_atom_site_fract_y
_atom_site_fract_z
Fe1 0.000 0.500 0.500
W1 0.000 0.000 0.000
W2 0.500 0.500 0.000
Y1 0.500 0.000 0.500
```

Density ... 12.427 g cm⁻³
M_tot ... 1.15 μB/cell
Symmetry ... No. 123

=====

Version B
VASP calculation (GGA-PBE) on a relaxed structure of YFeW2.

The structure in CIF format:
```
data_YFeW2
_chemical_formula_sum 'Y1 Fe1 W2'
_cell_length_a 5.516
_cell_length_b 5.516
_cell_length_c 5.516
_cell_angle_alpha 139.31
_cell_angle_beta 139.31
_cell_angle_gamma 58.90
_space_group_name_H-M_alt 'P 1'
_space_group_IT_number 1
loop_
_space_group_symop_operation_xyz
'x,y,z'
loop_
_atom_site_label
_atom_site_fract_x
_atom_site_fract_y
_atom_site_fract_z
Fe1 0.750 0.250 0.500
W1 0.000 0.000 0.000
W2 0.500 0.500 0.000
Y1 0.250 0.750 0.500
```

Density ... 12.042 g cm⁻³
M_tot ... 1.30 μB/cell
Symmetry ... No. 139

=====

Least stable = version A

=====

Version A
VASP calculation (GGA-PBE) on a relaxed structure of YFeW2.

The structure in CIF format:
```
data_YFeW2
_chemical_formula_sum 'Y1 Fe1 W2'
_cell_length_a 5.559
_cell_length_b 5.190
_cell_length_c 2.795
_cell_angle_alpha 79.42
_cell_angle_beta 80.46
_cell_angle_gamma 114.88
_space_group_name_H-M_alt 'P 1'
_space_group_IT_number 1
loop_
_space_group_symop_operation_xyz
'x,y,z'
loop_
_atom_site_label
_atom_site_fract_x
_atom_site_fract_y
_atom_site_fract_z
Fe1 0.500 0.000 0.500
W1 0.000 0.000 0.000
W2 0.000 0.500 0.500
Y1 0.500 0.500 0.000
```

Density ... 12.297 g cm⁻³
M_tot ... 1.53 μB/cell
Symmetry ... No. 12

=====

Version B
VASP calculation (GGA-PBE) on a relaxed structure of YFeW2.

The structure in CIF format:
```
data_YFeW2
_chemical_formula_sum 'Y2 Fe2 W4'
_cell_length_a 4.828
_cell_length_b 4.828
_cell_length_c 8.798
_cell_angle_alpha 74.07
_cell_angle_beta 74.07
_cell_angle_gamma 90.00
_space_group_name_H-M_alt 'P 1'
_space_group_IT_number 1
loop_
_space_group_symop_operation_xyz
'x,y,z'
loop_
_atom_site_label
_atom_site_fract_x
_atom_site_fract_y
_atom_site_fract_z
Y1 0.000 0.000 0.000
Y2 0.750 0.250 0.500
Fe1 0.500 0.500 0.000
Fe2 0.250 0.750 0.500
W1 0.389 0.125 0.250
W2 0.361 0.625 0.250
W3 0.375 0.611 0.750
W4 0.875 0.639 0.750
```

Density ... 9.003 g cm⁻³
M_tot ... 0.00 μB/cell
Symmetry ... No. 122

=====

Version C
VASP calculation (GGA-PBE) on a relaxed structure of YFeW2.

The structure in CIF format:
```
data_YFeW2
_chemical_formula_sum 'Y1 Fe1 W2'
_cell_length_a 4.942
_cell_length_b 4.942
_cell_length_c 5.329
_cell_angle_alpha 71.36
_cell_angle_beta 71.36
_cell_angle_gamma 37.65
_space_group_name_H-M_alt 'P 1'
_space_group_IT_number 1
loop_
_space_group_symop_operation_xyz
'x,y,z'
loop_
_atom_site_label
_atom_site_fract_x
_atom_site_fract_y
_atom_site_fract_z
Fe1 0.726 0.726 0.833
W1 0.009 0.009 0.991
W2 0.277 0.277 0.164
Y1 0.488 0.488 0.512
```

Density ... 11.373 g cm⁻³
M_tot ... 1.10 μB/cell
Symmetry ... No. 8

=====

Least stable = version B

=====

Version A
VASP calculation (GGA-PBE) on a relaxed structure of YFeW3.

The structure in CIF format:
```
data_YFeW3
_chemical_formula_sum 'Y1 Fe1 W3'
_cell_length_a 4.586
_cell_length_b 4.586
_cell_length_c 4.586
_cell_angle_alpha 90.00
_cell_angle_beta 90.00
_cell_angle_gamma 90.00
_space_group_name_H-M_alt 'P 1'
_space_group_IT_number 1
loop_
_space_group_symop_operation_xyz
'x,y,z'
loop_
_atom_site_label
_atom_site_fract_x
_atom_site_fract_y
_atom_site_fract_z
Y1 0.500 0.500 0.500
Fe1 0.000 0.000 0.000
W1 0.000 0.500 0.000
W2 0.000 0.000 0.500
W3 0.500 0.000 0.000
```

Density ... 11.985 g cm⁻³
M_tot ... 0.00 μB/cell
Symmetry ... No. 221

=====

Version B
VASP calculation (GGA-PBE) on a relaxed structure of YFeW3.

The structure in CIF format:
```
data_YFeW3
_chemical_formula_sum 'Y1 Fe1 W3'
_cell_length_a 4.742
_cell_length_b 4.742
_cell_length_c 4.742
_cell_angle_alpha 90.00
_cell_angle_beta 90.00
_cell_angle_gamma 90.00
_space_group_name_H-M_alt 'P 1'
_space_group_IT_number 1
loop_
_space_group_symop_operation_xyz
'x,y,z'
loop_
_atom_site_label
_atom_site_fract_x
_atom_site_fract_y
_atom_site_fract_z
Y1 0.000 0.000 0.000
Fe1 0.500 0.500 0.500
W1 0.000 0.500 0.000
W2 0.000 0.000 0.500
W3 0.500 0.000 0.000
```

Density ... 10.844 g cm⁻³
M_tot ... 0.06 μB/cell
Symmetry ... No. 221

=====

Least stable = version B

=====

Version A
VASP calculation (GGA-PBE) on a relaxed structure of Y2Fe2W.

The structure in CIF format:
```
data_Y2Fe2W
_chemical_formula_sum 'Y2 Fe2 W1'
_cell_length_a 9.553
_cell_length_b 9.553
_cell_length_c 9.553
_cell_angle_alpha 160.29
_cell_angle_beta 160.29
_cell_angle_gamma 28.01
_space_group_name_H-M_alt 'P 1'
_space_group_IT_number 1
loop_
_space_group_symop_operation_xyz
'x,y,z'
loop_
_atom_site_label
_atom_site_fract_x
_atom_site_fract_y
_atom_site_fract_z
Y1 0.615 0.615 0.000
Y2 0.385 0.385 0.000
Fe1 0.250 0.750 0.500
Fe2 0.750 0.250 0.500
W1 0.000 0.000 0.000
```

Density ... 7.932 g cm⁻³
M_tot ... 3.49 μB/cell
Symmetry ... No. 139

=====

Version B
VASP calculation (GGA-PBE) on a relaxed structure of Y2Fe2W.

The structure in CIF format:
```
data_Y2Fe2W
_chemical_formula_sum 'Y4 Fe4 W2'
_cell_length_a 6.344
_cell_length_b 6.344
_cell_length_c 4.649
_cell_angle_alpha 90.00
_cell_angle_beta 90.00
_cell_angle_gamma 90.00
_space_group_name_H-M_alt 'P 1'
_space_group_IT_number 1
loop_
_space_group_symop_operation_xyz
'x,y,z'
loop_
_atom_site_label
_atom_site_fract_x
_atom_site_fract_y
_atom_site_fract_z
Y1 0.183 0.683 0.500
Y2 0.683 0.817 0.500
Y3 0.817 0.317 0.500
Y4 0.317 0.183 0.500
Fe1 0.378 0.878 0.000
Fe2 0.878 0.622 0.000
Fe3 0.622 0.122 0.000
Fe4 0.122 0.378 0.000
W1 0.000 0.000 0.000
W2 0.500 0.500 0.000
```

Density ... 8.401 g cm⁻³
M_tot ... 0.00 μB/cell
Symmetry ... No. 127

=====

Least stable = version A